Computed, not measured: crystalline PaTaNbV at its relaxed geometry at the PBE-GGA level of DFT.

Structure (extended XYZ):
```
16
Lattice="6.682 0.000 0.000 0.000 6.682 0.000 0.000 0.000 6.682" Properties=species:S:1:pos:R:3 pbc="T T T"
Pa 0.000 0.000 0.000
Pa 0.000 3.341 3.341
Pa 3.341 0.000 3.341
Pa 3.341 3.341 0.000
Ta 0.000 0.000 3.341
Ta 0.000 3.341 0.000
Ta 3.341 0.000 0.000
Ta 3.341 3.341 3.341
Nb 1.670 1.670 1.670
Nb 1.670 5.011 5.011
Nb 5.011 1.670 5.011
Nb 5.011 5.011 1.670
V 1.670 1.670 5.011
V 1.670 5.011 1.670
V 5.011 1.670 1.670
V 5.011 5.011 5.011
```

## Properties
ΔE_f (eV/atom): 0.08